#a
This record from the Alexandria database describes crystalline ZrIF2 at its relaxed geometry. The functional is PBE-GGA.

a b c (Å): 4.618 4.618 14.175
angles (deg): 90.00 90.00 90.00
Space group I4_1/amd (No. 141, origin choice 2)
Inequivalent atoms, fractional coordinates:
Zr 0.000 0.250 0.375 x4
I 0.000 0.250 0.875 x4
F 0.000 0.000 0.500 x8


#b
This record from the Alexandria database describes crystalline ZrIF2 at its relaxed geometry. The functional is PBE-GGA.

a b c (Å): 3.0764 3.0764 27.9502
angles (deg): 90.00 90.00 120.00
Space group R-3m (No. 166, hexagonal axes)
Inequivalent atoms, fractional coordinates:
Zr 0.0000 0.0000 0.0000 x3
I 0.0000 0.0000 0.5000 x3
F 0.0000 0.0000 0.3854 x6


#c
This record from the Alexandria database describes crystalline ZrIF2 at its relaxed geometry. The functional is PBE-GGA.

a b c (Å): 6.414 6.414 6.414
angles (deg): 90.00 90.00 90.00
Space group Fm-3m (No. 225)
Inequivalent atoms, fractional coordinates:
Zr 0.000 0.000 0.000 x4
I 0.000 0.000 0.500 x4
F 0.250 0.250 0.250 x8


What is the least stable structure shown above? It is #c.